No. 1
A plane-wave DFT calculation with PBE was carried out for a relaxed structure of RbTl2Sb2Au.

Unit cell a=5.4782 b=5.4782 c=9.0365 alpha=107.64 beta=107.64 gamma=90.00
Last column: nearest neighbours and their distance in Å.
Atoms (fractional coordinates):
Tl (0.2500, 0.7500, 0.5000)  4 Sb 3.11
Rb (0.5000, 0.5000, 0.0000)  4 Au 3.87
Sb (0.8400, 0.8400, 0.6801)  1 Au 2.61
Sb (0.1600, 0.1600, 0.3199)  1 Au 2.61
Au (0.0000, 0.0000, 0.0000)  2 Sb 2.61
Tl (0.7500, 0.2500, 0.5000)  4 Sb 3.11

Properties
space-group type = No. 139
D(E_F) = 1.464 states/eV/cell
formation energy from raw total energies = -16.4 kJ per mole of atoms

---

No. 2
A plane-wave DFT calculation with PBE was carried out for a relaxed structure of CrInAs.

Unit cell a=4.5066 b=4.5066 c=4.5066 alpha=60.00 beta=60.00 gamma=60.00
Last column: nearest neighbours and their distance in Å.
Atoms (fractional coordinates):
In (0.0000, 0.0000, 0.0000)  4 Cr 2.76
Cr (0.7500, 0.7500, 0.7500)  4 As 2.76, 4 In 2.76
As (0.5000, 0.5000, 0.5000)  4 Cr 2.76

Properties
space-group type = No. 216
D(E_F) = 1.054 states/eV/cell
DFT formation energy = 0.20 eV per atom

---

No. 3
A plane-wave DFT calculation with PBE was carried out for a relaxed structure of Y3NpRu4.

Unit cell a=5.8809 b=5.8809 c=5.8809 alpha=109.47 beta=109.47 gamma=109.47
Last column: nearest neighbours and their distance in Å.
Atoms (fractional coordinates):
Np (0.0000, 0.0000, 0.0000)  8 Ru 2.94
Ru (0.0000, 0.4999, 0.0000)  2 Np 2.94, 6 Y 2.94
Ru (0.5001, 0.5001, 0.5001)  2 Np 2.94, 6 Y 2.94
Ru (0.4999, 0.0000, 0.0000)  2 Np 2.94, 6 Y 2.94
Ru (0.0000, 0.0000, 0.4999)  2 Np 2.94, 6 Y 2.94
Y (0.5000, 0.5000, 0.0000)  8 Ru 2.94
Y (0.5000, 0.0000, 0.5000)  8 Ru 2.94
Y (0.0000, 0.5000, 0.5000)  8 Ru 2.94

Properties
space-group type = No. 229
D(E_F) = 11.591 states/eV/cell
DFT formation energy = -0.24 eV per atom

---

No. 4
A plane-wave DFT calculation with PBE was carried out for a relaxed structure of ReBi2S.

Unit cell a=6.3901 b=6.3901 c=7.6803 alpha=65.42 beta=65.42 gamma=90.00
Last column: nearest neighbours and their distance in Å.
Atoms (fractional coordinates):
Bi (0.3750, 0.3477, 0.7500)  2 Re 2.64, 2 S 2.85
Bi (0.8750, 0.9023, 0.7500)  2 Re 2.64, 2 S 2.85
Bi (0.0977, 0.6250, 0.2500)  2 Re 2.64, 2 S 2.85
Re (0.7500, 0.2500, 0.5000)  4 Bi 2.64
S (0.2500, 0.7500, 0.5000)  4 Bi 2.85
Re (0.0000, 0.0000, 0.0000)  4 Bi 2.64
Bi (0.6523, 0.1250, 0.2500)  2 Re 2.64, 2 S 2.85
S (0.5000, 0.5000, 0.0000)  4 Bi 2.85

Properties
space-group type = No. 122
D(E_F) = 8.293 states/eV/cell
formation energy from raw total energies = 88.9 kJ per mole of atoms